Record 1
VASP calculation (GGA-PBE) on Y2HfHgO after structural relaxation.

It has space group P4/mmm (No. 123), with a = 4.824 Å, b = 4.824 Å, c = 4.387 Å, α = 90.00°, β = 90.00° and γ = 90.00°. The distinct sites, in fractional coordinates, are Y at (0.000, 0.500, 0.000), Hf at (0.000, 0.000, 0.500), Hg at (0.500, 0.500, 0.500) and O at (0.000, 0.000, 0.000).

The uncorrected formation energy is -1208 meV per atom.

=====

Record 2
VASP calculation (GGA-PBE) on AcMgCuAu after structural relaxation.

It has space group Cm (No. 8), with a = 8.083 Å, b = 4.677 Å, c = 5.800 Å, α = 90.00°, β = 117.74° and γ = 90.00°. The distinct sites, in fractional coordinates, are Ac at (0.000, 0.000, 0.000), Mg at (0.498, 0.000, 0.494), Cu at (0.296, 0.500, 0.389) and Au at (0.206, 0.000, 0.619).

As for the formation enthalpy at 0 K: -1.859 eV/f.u. The energy relative to the lowest polymorph listed for this composition comes out at 0.000 eV per atom.

=====

Record 3
VASP calculation (GGA-PBE) on Pr2HgPt after structural relaxation.

It has space group P4/mmm (No. 123), with a = 3.709 Å, b = 3.709 Å, c = 7.681 Å, α = 90.00°, β = 90.00° and γ = 90.00°. The distinct sites, in fractional coordinates, are Pr at (0.000, 0.000, 0.226), Hg at (0.500, 0.500, 0.500) and Pt at (0.500, 0.500, 0.000).

As for the formation enthalpy at 0 K: -2.965 eV/f.u. The energy relative to the lowest polymorph listed for this composition comes out at 0.001 eV per atom.

=====

Record 4
VASP calculation (GGA-PBE) on Be2AgAs after structural relaxation.

It has space group P4/mmm (No. 123), with a = 3.233 Å, b = 3.233 Å, c = 5.225 Å, α = 90.00°, β = 90.00° and γ = 90.00°. The distinct sites, in fractional coordinates, are Be at (0.000, 0.000, 0.208), Ag at (0.500, 0.500, 0.500) and As at (0.500, 0.500, 0.000).

As for the formation enthalpy at 0 K: 1.394 eV/f.u.

=====

Record 5
VASP calculation (GGA-PBE) on Tb8Cu2Os after structural relaxation.

It has space group C2/m (No. 12), with a = 17.293 Å, b = 5.107 Å, c = 6.740 Å, α = 90.00°, β = 107.04° and γ = 90.00°. The distinct sites, in fractional coordinates, are Tb at (0.032, 0.000, 0.296), Tb at (0.090, 0.500, 0.940), Tb at (0.167, 0.500, 0.478), Tb at (0.198, 0.000, 0.822), Cu at (0.184, 0.000, 0.219) and Os at (0.000, 0.500, 0.500).

As for the formation enthalpy at 0 K: -1.546 eV/f.u. The energy relative to the lowest polymorph listed for this composition comes out at 0.000 eV per atom.

=====

Record 6
VASP calculation (GGA-PBE) on ZnCo2Cl after structural relaxation.

It has space group Cm (No. 8), with a = 7.359 Å, b = 3.076 Å, c = 6.219 Å, α = 90.00°, β = 94.24° and γ = 90.00°. The distinct sites, in fractional coordinates, are Zn at (0.000, 0.000, 0.000), Co at (0.223, 0.500, 0.215), Co at (0.438, 0.000, 0.328) and Cl at (0.455, 0.000, 0.688).

The uncorrected formation energy is 168 meV per atom. The energy relative to the lowest polymorph listed for this composition comes out at 0.091 eV per atom.

=====

Record 7
VASP calculation (GGA-PBE) on CaCI2 after structural relaxation.

It has space group P1 (No. 1), with a = 4.162 Å, b = 4.162 Å, c = 7.812 Å, α = 75.81°, β = 76.38° and γ = 75.95°. The distinct sites, in fractional coordinates, are Ca at (0.000, 0.000, 0.000), C at (0.610, 0.610, 0.000), I at (0.327, 0.321, 0.252) and I at (0.504, 0.510, 0.748).

The uncorrected formation energy is 101 meV per atom. The energy relative to the lowest polymorph listed for this composition comes out at 0.781 eV per atom.

=====

Record 8
VASP calculation (GGA-PBE) on PmDy3HoTh after structural relaxation.

It has space group C2/m (No. 12), with a = 20.044 Å, b = 5.626 Å, c = 6.927 Å, α = 90.00°, β = 91.58° and γ = 90.00°. The distinct sites, in fractional coordinates, are Pm at (0.145, 0.000, 0.459), Dy at (0.021, 0.000, 0.754), Dy at (0.161, 0.500, 0.759), Dy at (0.220, 0.500, 0.256), Ho at (0.151, 0.000, 0.028) and Th at (0.057, 0.500, 0.217).

As for the formation enthalpy at 0 K: 1.299 eV/f.u.

=====

Record 9
VASP calculation (GGA-PBE) on YBe2Co after structural relaxation.

It has space group C2/m (No. 12), with a = 5.028 Å, b = 7.181 Å, c = 3.137 Å, α = 90.00°, β = 90.21° and γ = 90.00°. The distinct sites, in fractional coordinates, are Y at (0.000, 0.000, 0.000), Be at (0.250, 0.250, 0.500) and Co at (0.000, 0.500, 0.000).

As for the formation enthalpy at 0 K: 1.700 eV/f.u. The energy relative to the lowest polymorph listed for this composition comes out at 0.618 eV per atom.

=====

Record 10
VASP calculation (GGA-PBE) on KMgSb4 after structural relaxation.

It has space group F-43m (No. 216), with a = 9.041 Å, b = 9.041 Å, c = 9.041 Å, α = 90.00°, β = 90.00° and γ = 90.00°. The distinct sites, in fractional coordinates, are K at (0.000, 0.000, 0.000), Mg at (0.250, 0.250, 0.750) and Sb at (0.124, 0.124, 0.376).

The uncorrected formation energy is -35 meV per atom.

=====

Record 11
VASP calculation (GGA-PBE) on Ac2Si4Ir3Rh after structural relaxation.

It has space group P-4m2 (No. 115), with a = 4.288 Å, b = 4.288 Å, c = 10.137 Å, α = 90.00°, β = 90.00° and γ = 90.00°. The distinct sites, in fractional coordinates, are Ac at (0.000, 0.500, 0.244), Si at (0.000, 0.000, 0.000), Si at (0.000, 0.500, 0.625), Si at (0.500, 0.500, 0.000), Ir at (0.000, 0.500, 0.876), Ir at (0.500, 0.500, 0.500) and Rh at (0.000, 0.000, 0.500).

The uncorrected formation energy is -947 meV per atom.

=====

Record 12
VASP calculation (GGA-PBE) on Dy2ThRu3 after structural relaxation.

It has space group P-3m1 (No. 164), with a = 4.8753 Å, b = 4.8753 Å, c = 5.9868 Å, α = 90.00°, β = 90.00° and γ = 120.00°. The distinct sites, in fractional coordinates, are Dy at (0.3333, 0.6667, 0.1561), Th at (0.0000, 0.0000, 0.5000), Ru at (0.0000, 0.0000, 0.0000) and Ru at (0.3333, 0.6667, 0.6586).

As for the formation enthalpy at 0 K: -2.508 eV/f.u. The energy relative to the lowest polymorph listed for this composition comes out at 0.000 eV per atom.

=====

Record 13
VASP calculation (GGA-PBE) on SbIrRh2 after structural relaxation.

It has space group P2/m (No. 10), with a = 4.692 Å, b = 2.974 Å, c = 4.768 Å, α = 90.00°, β = 107.74° and γ = 90.00°. The distinct sites, in fractional coordinates, are Sb at (0.000, 0.000, 0.000), Ir at (0.000, 0.500, 0.500), Rh at (0.500, 0.000, 0.500) and Rh at (0.500, 0.500, 0.000).

The uncorrected formation energy is -6 meV per atom.

=====

Record 14
VASP calculation (GGA-PBE) on HfAu after structural relaxation.

It has space group P4/mmm (No. 123), with a = 3.091 Å, b = 3.091 Å, c = 4.054 Å, α = 90.00°, β = 90.00° and γ = 90.00°. The distinct sites, in fractional coordinates, are Hf at (0.000, 0.000, 0.000) and Au at (0.500, 0.500, 0.500).

As for the formation enthalpy at 0 K: -0.861 eV/f.u.

=====

Record 15
VASP calculation (GGA-PBE) on BaBePd3 after structural relaxation.

It has space group Pm-3m (No. 221), with a = 5.370 Å, b = 5.370 Å, c = 5.370 Å, α = 90.00°, β = 90.00° and γ = 90.00°. The distinct sites, in fractional coordinates, are Ba at (0.000, 0.000, 0.000), Be at (0.500, 0.500, 0.500) and Pd at (0.000, 0.000, 0.500).

As for the formation enthalpy at 0 K: 7.287 eV/f.u. The energy relative to the lowest polymorph listed for this composition comes out at 1.887 eV per atom.

=====

Record 16
VASP calculation (GGA-PBE) on BeTlSe2 after structural relaxation.

It has space group Cmmm (No. 65), with a = 6.060 Å, b = 7.573 Å, c = 3.802 Å, α = 90.00°, β = 90.00° and γ = 90.00°. The distinct sites, in fractional coordinates, are Be at (0.000, 0.000, 0.000), Tl at (0.000, 0.500, 0.000) and Se at (0.250, 0.250, 0.500).

The uncorrected formation energy is 478 meV per atom. The energy relative to the lowest polymorph listed for this composition comes out at 0.888 eV per atom.

=====

Record 17
VASP calculation (GGA-PBE) on Rb4Nd3SmTe8 after structural relaxation.

It has space group R-3m (No. 166, hexagonal axes), with a = 9.2768 Å, b = 9.2768 Å, c = 25.7233 Å, α = 90.00°, β = 90.00° and γ = 120.00°. The distinct sites, in fractional coordinates, are Rb at (0.0000, 0.0000, 0.0000), Rb at (0.0000, 0.5000, 0.0000), Nd at (0.0000, 0.5000, 0.5000), Sm at (0.0000, 0.0000, 0.5000), Te at (0.0000, 0.0000, 0.2352) and Te at (0.0025, 0.5013, 0.2348).

The uncorrected formation energy is -1407 meV per atom.

=====

Record 18
VASP calculation (GGA-PBE) on MgSbIrO6 after structural relaxation.

It has space group P-31c (No. 163), with a = 5.0956 Å, b = 5.0956 Å, c = 8.8439 Å, α = 90.00°, β = 90.00° and γ = 120.00°. The distinct sites, in fractional coordinates, are Mg at (0.3333, 0.6667, 0.2500), Sb at (0.0000, 0.0000, 0.0000), Ir at (0.3333, 0.6667, 0.7500) and O at (0.0100, 0.3435, 0.6253).

The uncorrected formation energy is -1345 meV per atom.

=====

Record 19
VASP calculation (GGA-PBE) on AcSiPd4 after structural relaxation.

It has space group Pmma (No. 51), with a = 7.899 Å, b = 3.952 Å, c = 7.228 Å, α = 90.00°, β = 90.00° and γ = 90.00°. The distinct sites, in fractional coordinates, are Ac at (0.250, 0.000, 0.132), Si at (0.250, 0.000, 0.691), Pd at (0.000, 0.000, 0.500), Pd at (0.066, 0.500, 0.799) and Pd at (0.250, 0.500, 0.463).

The uncorrected formation energy is -718 meV per atom. The energy relative to the lowest polymorph listed for this composition comes out at 0.039 eV per atom.

=====

Record 20
VASP calculation (GGA-PBE) on AcSnP after structural relaxation.

It has space group P3m1 (No. 156), with a = 4.7126 Å, b = 4.7126 Å, c = 4.4212 Å, α = 90.00°, β = 90.00° and γ = 120.00°. The distinct sites, in fractional coordinates, are Ac at (0.0000, 0.0000, 0.0000), Sn at (0.3333, 0.6667, 0.5203) and P at (0.6667, 0.3333, 0.4386).

As for the formation enthalpy at 0 K: -1.838 eV/f.u. The energy relative to the lowest polymorph listed for this composition comes out at 0.000 eV per atom.

=====

Record 21
VASP calculation (GGA-PBE) on Sm4Al2Ag after structural relaxation.

It has space group R-3m (No. 166, hexagonal axes), with a = 5.2137 Å, b = 5.2137 Å, c = 25.1409 Å, α = 90.00°, β = 90.00° and γ = 120.00°. The distinct sites, in fractional coordinates, are Sm at (0.0000, 0.0000, 0.1197), Sm at (0.0000, 0.0000, 0.3714), Al at (0.0000, 0.0000, 0.2482) and Ag at (0.0000, 0.0000, 0.5000).

As for the formation enthalpy at 0 K: -1.305 eV/f.u.

=====

Record 22
VASP calculation (GGA-PBE) on K2InHg6Au after structural relaxation.

It has space group P-1 (No. 2), with a = 5.536 Å, b = 6.991 Å, c = 8.051 Å, α = 85.27°, β = 83.34° and γ = 84.43°. The distinct sites, in fractional coordinates, are K at (0.034, 0.263, 0.347), In at (0.500, 0.500, 0.000), Hg at (0.002, 0.730, 0.125), Hg at (0.390, 0.928, 0.858), Hg at (0.487, 0.645, 0.346) and Au at (0.500, 0.000, 0.500).

As for the formation enthalpy at 0 K: -1.617 eV/f.u.

=====

Record 23
VASP calculation (GGA-PBE) on SmFe12B6 after structural relaxation.

It has space group R-3m (No. 166, hexagonal axes), with a = 9.5459 Å, b = 9.5459 Å, c = 7.4432 Å, α = 90.00°, β = 90.00° and γ = 120.00°. The distinct sites, in fractional coordinates, are Sm at (0.0000, 0.0000, 0.0000), Fe at (0.0000, 0.3699, 0.5000), Fe at (0.0893, 0.1786, 0.3653) and B at (0.0279, 0.5139, 0.2822).

As for the formation enthalpy at 0 K: -5.370 eV/f.u.

=====

Record 24
VASP calculation (GGA-PBE) on Tb4Pm3Er8 after structural relaxation.

It has space group C2/m (No. 12), with a = 13.328 Å, b = 12.795 Å, c = 6.710 Å, α = 90.00°, β = 120.17° and γ = 90.00°. The distinct sites, in fractional coordinates, are Tb at (0.000, 0.000, 0.000), Tb at (0.000, 0.000, 0.500), Tb at (0.250, 0.250, 0.000), Pm at (0.000, 0.500, 0.500), Pm at (0.250, 0.250, 0.500), Er at (0.000, 0.254, 0.500), Er at (0.000, 0.360, 0.000), Er at (0.233, 0.500, 0.468) and Er at (0.236, 0.500, 0.992).

As for the formation enthalpy at 0 K: 5.872 eV/f.u.

=====

Record 25
VASP calculation (GGA-PBE) on LaWAu4 after structural relaxation.

It has space group F-43m (No. 216), with a = 7.933 Å, b = 7.933 Å, c = 7.933 Å, α = 90.00°, β = 90.00° and γ = 90.00°. The distinct sites, in fractional coordinates, are La at (0.000, 0.000, 0.000), W at (0.250, 0.250, 0.750) and Au at (0.124, 0.124, 0.376).

As for the formation enthalpy at 0 K: 1.299 eV/f.u.

=====

For the records above, the corresponding DFT total energy values read -6.836, -3.734, -4.717, -3.390, -5.274, -4.165, -3.480, -4.876, -4.831, -3.232, -7.331, -7.827, -6.927, -7.046, -2.788, -2.788, -4.409, -6.270, -5.769, -5.120, -4.360, -1.164, -7.985, -4.227, -4.948 eV/atom.
For the records above, the corresponding V values read 20.419, 24.262, 26.423, 13.652, 25.866, 17.546, 31.251, 32.535, 14.158, 30.796, 18.640, 20.539, 15.841, 19.363, 30.965, 21.813, 39.940, 11.048, 18.806, 28.345, 28.183, 30.722, 10.305, 32.974, 20.799 Å³ per atom.